(1)
VASP calculation (GGA-PBE) on crystalline MgTa2TcW at its relaxed geometry.

abc: 4.725 4.725 4.245
angles: 90.00 90.00 90.00
Fractional coordinates of all 5 atoms:
1 Mg 0.000 0.000 0.000
2 Ta 0.000 0.500 0.000
3 Ta 0.500 0.000 0.000
4 Tc 0.000 0.000 0.500
5 W 0.500 0.500 0.500

* magnetization: 0.00 Bohr magnetons per cell
* ΔH_f (0 K): 2.037 eV per atom


(2)
VASP calculation (GGA-PBE) on crystalline YMg2TaTc at its relaxed geometry.

abc: 5.043 5.043 4.749
angles: 90.00 90.00 90.00
Fractional coordinates of all 5 atoms:
1 Y 0.000 0.000 0.000
2 Mg 0.000 0.500 0.500
3 Mg 0.500 0.000 0.500
4 Ta 0.500 0.500 0.000
5 Tc 0.500 0.500 0.500

* magnetization: 0.00 Bohr magnetons per cell
* ΔH_f (0 K): 0.475 eV per atom


(3)
VASP calculation (GGA-PBE) on crystalline MgTaTe at its relaxed geometry.

abc: 3.788 5.088 14.512
angles: 90.00 90.00 90.00
Fractional coordinates of all 12 atoms:
1 Mg 0.000 0.000 0.000
2 Mg 0.000 0.500 0.500
3 Mg 0.500 0.000 0.500
4 Mg 0.500 0.500 0.000
5 Ta 0.000 0.000 0.650
6 Ta 0.000 0.500 0.150
7 Ta 0.500 0.000 0.150
8 Ta 0.500 0.500 0.650
9 Te 0.000 0.000 0.291
10 Te 0.000 0.500 0.791
11 Te 0.500 0.000 0.791
12 Te 0.500 0.500 0.291

* magnetization: 0.00 Bohr magnetons per cell
* formation energy from raw total energies: 0.276 eV/atom
* relative energy among the computed polymorphs: 0.2383 eV per atom


(4)
VASP calculation (GGA-PBE) on crystalline MgTaTe2 at its relaxed geometry.

abc: 3.770 5.379 5.218
angles: 90.00 110.91 90.00
Fractional coordinates of all 4 atoms:
1 Mg 0.000 0.000 0.000
2 Ta 0.382 0.500 0.756
3 Te 0.290 0.000 0.573
4 Te 0.667 0.500 0.321

* magnetization: 0.00 Bohr magnetons per cell
* formation energy from raw total energies: -0.011 eV/atom


(5)
VASP calculation (GGA-PBE) on crystalline MgTaTe2 at its relaxed geometry.

abc: 3.698 3.698 7.426
angles: 90.00 90.00 90.00
Fractional coordinates of all 4 atoms:
1 Mg 0.000 0.000 0.000
2 Ta 0.500 0.500 0.228
3 Te 0.000 0.000 0.394
4 Te 0.500 0.500 0.843

* magnetization: 0.00 Bohr magnetons per cell
* formation energy from raw total energies: -0.106 eV/atom


(6)
VASP calculation (GGA-PBE) on crystalline MgTaTe2 at its relaxed geometry.

abc: 3.810 5.077 10.732
angles: 90.00 90.00 90.00
Fractional coordinates of all 8 atoms:
1 Mg 0.000 0.000 0.000
2 Mg 0.500 0.500 0.000
3 Ta 0.000 0.500 0.792
4 Ta 0.500 0.000 0.792
5 Te 0.000 0.000 0.603
6 Te 0.000 0.500 0.223
7 Te 0.500 0.000 0.223
8 Te 0.500 0.500 0.603

* magnetization: 0.00 Bohr magnetons per cell
* formation energy from raw total energies: 0.053 eV/atom


(7)
VASP calculation (GGA-PBE) on crystalline MgTaTe2 at its relaxed geometry.

abc: 3.591 5.441 10.552
angles: 90.00 90.00 90.00
Fractional coordinates of all 8 atoms:
1 Mg 0.000 0.000 0.000
2 Mg 0.500 0.500 0.000
3 Ta 0.000 0.000 0.500
4 Ta 0.500 0.500 0.500
5 Te 0.000 0.500 0.293
6 Te 0.000 0.500 0.707
7 Te 0.500 0.000 0.293
8 Te 0.500 0.000 0.707

* magnetization: 0.00 Bohr magnetons per cell
* formation energy from raw total energies: 0.207 eV/atom


(8)
VASP calculation (GGA-PBE) on crystalline MgTaTe2 at its relaxed geometry.

abc: 6.548 6.548 12.543
angles: 90.00 90.00 90.00
Fractional coordinates of all 16 atoms:
1 Mg 0.000 0.000 0.000
2 Mg 0.000 0.500 0.250
3 Mg 0.500 0.000 0.750
4 Mg 0.500 0.500 0.500
5 Ta 0.000 0.000 0.500
6 Ta 0.000 0.500 0.750
7 Ta 0.500 0.000 0.250
8 Ta 0.500 0.500 0.000
9 Te 0.244 0.250 0.625
10 Te 0.250 0.744 0.875
11 Te 0.250 0.756 0.375
12 Te 0.256 0.250 0.125
13 Te 0.744 0.750 0.125
14 Te 0.750 0.244 0.375
15 Te 0.750 0.256 0.875
16 Te 0.756 0.750 0.625

* magnetization: 11.67 Bohr magnetons per cell
* formation energy from raw total energies: 0.171 eV/atom


(9)
VASP calculation (GGA-PBE) on crystalline MgTaTe2 at its relaxed geometry.

abc: 6.475 3.742 8.421
angles: 90.00 104.99 90.00
Fractional coordinates of all 8 atoms:
1 Mg 0.000 0.000 0.000
2 Mg 0.500 0.500 0.000
3 Ta 0.000 0.500 0.500
4 Ta 0.500 0.000 0.500
5 Te 0.243 0.000 0.727
6 Te 0.257 0.500 0.273
7 Te 0.743 0.500 0.727
8 Te 0.757 0.000 0.273

* magnetization: 0.00 Bohr magnetons per cell
* formation energy from raw total energies: -0.131 eV/atom


(10)
VASP calculation (GGA-PBE) on crystalline MgTaTe at its relaxed geometry.

abc: 3.412 3.412 6.856
angles: 90.00 90.00 120.00
Fractional coordinates of all 3 atoms:
1 Mg 0.000 0.000 0.000
2 Ta 0.333 0.667 0.329
3 Te 0.667 0.333 0.610

* magnetization: 0.00 Bohr magnetons per cell
* formation energy from raw total energies: 0.096 eV/atom
* relative energy among the computed polymorphs: 0.0586 eV per atom


(11)
VASP calculation (GGA-PBE) on crystalline MgTaTe2 at its relaxed geometry.

abc: 4.162 4.162 10.583
angles: 90.00 90.00 90.00
Fractional coordinates of all 8 atoms:
1 Mg 0.000 0.000 0.000
2 Mg 0.500 0.500 0.500
3 Ta 0.000 0.500 0.750
4 Ta 0.500 0.000 0.250
5 Te 0.000 0.000 0.500
6 Te 0.000 0.500 0.250
7 Te 0.500 0.000 0.750
8 Te 0.500 0.500 0.000

* magnetization: 0.01 Bohr magnetons per cell
* formation energy from raw total energies: 0.354 eV/atom


(12)
VASP calculation (GGA-PBE) on crystalline Mg4TaTe at its relaxed geometry.

abc: 5.675 5.675 5.675
angles: 60.00 60.00 60.00
Fractional coordinates of all 6 atoms:
1 Mg 0.123 0.123 0.123
2 Mg 0.123 0.123 0.630
3 Mg 0.123 0.630 0.123
4 Mg 0.630 0.123 0.123
5 Ta 0.750 0.750 0.750
6 Te 0.500 0.500 0.500

* magnetization: 2.02 Bohr magnetons per cell
* formation energy from raw total energies: 0.418 eV/atom


What did the fifth record say?
VASP calculation (GGA-PBE) on crystalline MgTaTe2 at its relaxed geometry.

abc: 3.698 3.698 7.426
angles: 90.00 90.00 90.00
Fractional coordinates of all 4 atoms:
1 Mg 0.000 0.000 0.000
2 Ta 0.500 0.500 0.228
3 Te 0.000 0.000 0.394
4 Te 0.500 0.500 0.843

* magnetization: 0.00 Bohr magnetons per cell
* formation energy from raw total energies: -0.106 eV/atom